1.
Computed, not measured: a relaxed structure of BaSi2Br at the GGA-PBE level of DFT.

The structure belongs to space group Cmmm (No. 65); the cell edges are 6.143, 10.247 and 3.421 Å and the angles 90.00°, 90.00° and 90.00°. The inequivalent atoms are Ba at (0.000, 0.000, 0.000), Si at (0.250, 0.250, 0.500) and Br at (0.000, 0.500, 0.000).

The final energy comes out at -3.344 eV/atom. The formation energy without anion corrections is 102.9 kJ/mol of formula units. As for the energy above the most stable polymorph in this dataset: 855 meV per atom.



2.
Computed, not measured: a relaxed structure of CrFeRe3 at the GGA-PBE level of DFT.

The structure belongs to space group Pm-3m (No. 221); the cell edges are 4.361, 4.361 and 4.361 Å and the angles 90.00°, 90.00° and 90.00°. The inequivalent atoms are Cr at (0.000, 0.000, 0.000), Fe at (0.500, 0.500, 0.500) and Re at (0.000, 0.500, 0.500).

The final energy comes out at -9.342 eV/atom. As for the energy above the most stable polymorph in this dataset: 0 meV per atom. The value obtained for the formation energy from the elements is 1.744 eV per atom.



3.
Computed, not measured: a relaxed structure of CuPt2Rh at the GGA-PBE level of DFT.

The structure belongs to space group R-3m (No. 166, hexagonal axes); the cell edges are 2.7449, 2.7449 and 26.7281 Å and the angles 90.00°, 90.00° and 120.00°. The inequivalent atoms are Cu at (0.0000, 0.0000, 0.0000), Pt at (0.0000, 0.0000, 0.2528) and Rh at (0.0000, 0.0000, 0.5000).

The final energy comes out at -5.972 eV/atom. The value obtained for the formation energy from the elements is -0.089 eV per atom.



4.
Computed, not measured: a relaxed structure of Pm2Y2Te7 at the GGA-PBE level of DFT.

The structure belongs to space group Cmmm (No. 65); the cell edges are 10.719, 11.265 and 6.834 Å and the angles 90.00°, 90.00° and 90.00°. The inequivalent atoms are Pm at (0.238, 0.000, 0.000), Y at (0.000, 0.235, 0.500), Te at (0.000, 0.000, 0.255), Te at (0.000, 0.500, 0.500) and Te at (0.250, 0.250, 0.244).

The final energy comes out at -5.078 eV/atom. The formation energy without anion corrections is -1103.8 kJ/mol of formula units.



5.
Computed, not measured: a relaxed structure of SmHo3Th2Bi6 at the GGA-PBE level of DFT.

The structure belongs to space group C2/m (No. 12); the cell edges are 19.695, 4.533 and 9.031 Å and the angles 90.00°, 103.04° and 90.00°. The inequivalent atoms are Sm at (0.000, 0.000, 0.000), Ho at (0.000, 0.000, 0.500), Ho at (0.166, 0.500, 0.834), Th at (0.165, 0.500, 0.331), Bi at (0.003, 0.500, 0.746), Bi at (0.165, 0.000, 0.589) and Bi at (0.168, 0.000, 0.077).

The final energy comes out at -5.479 eV/atom. The value obtained for the formation energy from the elements is -0.764 eV per atom.



6.
Computed, not measured: a relaxed structure of Ho2PuAg at the GGA-PBE level of DFT.

The structure belongs to space group R-3m (No. 166, hexagonal axes); the cell edges are 3.4587, 3.4587 and 31.2444 Å and the angles 90.00°, 90.00° and 120.00°. The inequivalent atoms are Ho at (0.0000, 0.0000, 0.2434), Pu at (0.0000, 0.0000, 0.0000) and Ag at (0.0000, 0.0000, 0.5000).

The final energy comes out at -6.521 eV/atom. As for the energy above the most stable polymorph in this dataset: 114 meV per atom. The value obtained for the formation energy from the elements is 0.064 eV per atom.



7.
Computed, not measured: a relaxed structure of Ir2PbCl at the GGA-PBE level of DFT.

The structure belongs to space group Imm2 (No. 44); the cell edges are 2.927, 5.479 and 10.198 Å and the angles 90.00°, 90.00° and 90.00°. The inequivalent atoms are Ir at (0.000, 0.000, 0.000), Ir at (0.000, 0.500, 0.296), Pb at (0.000, 0.500, 0.761) and Cl at (0.000, 0.000, 0.598).

The final energy comes out at -5.092 eV/atom. The formation energy without anion corrections is 280.8 kJ/mol of formula units. As for the energy above the most stable polymorph in this dataset: 530 meV per atom.



8.
Computed, not measured: a relaxed structure of DyUTc at the GGA-PBE level of DFT.

The structure belongs to space group I4/mmm (No. 139); the cell edges are 3.472, 3.472 and 23.938 Å and the angles 90.00°, 90.00° and 90.00°. The inequivalent atoms are Dy at (0.000, 0.000, 0.076), U at (0.000, 0.000, 0.336) and Tc at (0.000, 0.000, 0.206).

The final energy comes out at -8.532 eV/atom. As for the energy above the most stable polymorph in this dataset: 212 meV per atom. The value obtained for the formation energy from the elements is 0.220 eV per atom.



9.
Computed, not measured: a relaxed structure of Cs2PmCd2S4 at the GGA-PBE level of DFT.

The structure belongs to space group C2/m (No. 12); the cell edges are 16.753, 4.138 and 8.580 Å and the angles 90.00°, 112.59° and 90.00°. The inequivalent atoms are Cs at (0.127, 0.000, 0.057), Pm at (0.000, 0.000, 0.500), Cd at (0.185, 0.500, 0.519), S at (0.028, 0.500, 0.295) and S at (0.182, 0.000, 0.706).

The final energy comes out at -3.888 eV/atom. The formation energy without anion corrections is -983.5 kJ/mol of formula units.



10.
Computed, not measured: a relaxed structure of Sm2Be4Ge3Ir at the GGA-PBE level of DFT.

The structure belongs to space group P-4m2 (No. 115); the cell edges are 3.937, 3.937 and 10.042 Å and the angles 90.00°, 90.00° and 90.00°. The inequivalent atoms are Sm at (0.000, 0.500, 0.249), Be at (0.000, 0.000, 0.000), Be at (0.000, 0.500, 0.630), Be at (0.500, 0.500, 0.000), Ge at (0.000, 0.500, 0.867), Ge at (0.500, 0.500, 0.500) and Ir at (0.000, 0.000, 0.500).

The final energy comes out at -5.189 eV/atom. The value obtained for the formation energy from the elements is -0.484 eV per atom.



11.
Computed, not measured: a relaxed structure of DyGa2Co2C at the GGA-PBE level of DFT.

The structure belongs to space group I4/mmm (No. 139); the cell edges are 3.894, 3.894 and 12.353 Å and the angles 90.00°, 90.00° and 90.00°. The inequivalent atoms are Dy at (0.000, 0.000, 0.000), Ga at (0.000, 0.500, 0.250), Co at (0.000, 0.000, 0.362) and C at (0.000, 0.000, 0.500).

The final energy comes out at -5.899 eV/atom. The value obtained for the formation energy from the elements is -0.217 eV per atom.



12.
Computed, not measured: a relaxed structure of Ho3ScTl3S8 at the GGA-PBE level of DFT.

The structure belongs to space group R-3m (No. 166, hexagonal axes); the cell edges are 7.9075, 7.9075 and 22.0586 Å and the angles 90.00°, 90.00° and 120.00°. The inequivalent atoms are Ho at (0.0000, 0.5000, 0.0000), Sc at (0.0000, 0.0000, 0.0000), Tl at (0.0000, 0.5000, 0.5000), S at (0.0000, 0.0000, 0.2660) and S at (0.0125, 0.5063, 0.7317).

The final energy comes out at -5.479 eV/atom. The formation energy without anion corrections is -2122.3 kJ/mol of formula units.